A:
This record from Alexandria describes an optimized crystal structure of Si2Hg. The functional is PBEsol.

a = 2.896 Å, b = 3.387 Å, c = 11.053 Å
α = 90.00°, β = 97.53°, γ = 90.00°
Element x y z (fractional)
Hg: 0.199 0.250 0.398
Hg: 0.801 0.750 0.602
Si: 0.901 0.250 0.803
Si: 0.099 0.750 0.197
Si: 0.458 0.750 0.915
Si: 0.542 0.250 0.085

---

B:
This record from Alexandria describes an optimized crystal structure of Si2Hg. The functional is PBEsol.

a = 4.070 Å, b = 4.070 Å, c = 9.490 Å
α = 90.00°, β = 90.00°, γ = 120.00°
Element x y z (fractional)
Hg: 0.333 0.667 0.250
Hg: 0.667 0.333 0.750
Si: 0.000 0.000 0.123
Si: 0.000 0.000 0.623
Si: 0.000 0.000 0.377
Si: 0.000 0.000 0.877

---

C:
This record from Alexandria describes an optimized crystal structure of Si2Hg. The functional is PBEsol.

a = 5.796 Å, b = 6.699 Å, c = 6.699 Å
α = 120.00°, β = 90.00°, γ = 90.00°
Element x y z (fractional)
Hg: 0.500 0.667 0.333
Hg: 0.500 0.333 0.667
Hg: 0.000 0.000 0.000
Si: 0.348 0.251 0.251
Si: 0.652 0.749 0.749
Si: 0.348 0.000 0.749
Si: 0.652 0.251 0.000
Si: 0.652 0.000 0.251
Si: 0.348 0.749 0.000

---

D:
This record from Alexandria describes an optimized crystal structure of Si2Hg. The functional is PBEsol.

a = 4.863 Å, b = 4.863 Å, c = 5.349 Å
α = 90.00°, β = 90.00°, γ = 120.00°
Element x y z (fractional)
Si: 0.000 0.000 0.000
Si: 0.667 0.333 0.250
Si: 0.333 0.667 0.750
Si: 0.000 0.000 0.500
Hg: 0.667 0.333 0.750
Hg: 0.333 0.667 0.250

---

Tell me which of them is the most stable. Sure, it is A.

---

A:
This record from Alexandria describes an optimized crystal structure of Si2HgTe. The functional is PBEsol.

a = 3.578 Å, b = 3.578 Å, c = 7.130 Å
α = 90.00°, β = 90.00°, γ = 90.00°
Element x y z (fractional)
Te: 0.000 0.000 0.504
Si: 0.500 0.500 0.101
Si: 0.000 0.000 0.145
Hg: 0.500 0.500 0.750

---

B:
This record from Alexandria describes an optimized crystal structure of Si2HgTe. The functional is PBEsol.

a = 3.896 Å, b = 3.896 Å, c = 6.871 Å
α = 73.53°, β = 73.53°, γ = 60.00°
Element x y z (fractional)
Te: 0.500 0.500 0.500
Si: 0.744 0.744 0.767
Si: 0.256 0.256 0.233
Hg: 0.000 0.000 0.000

---

Tell me which of them is the most stable. Sure, it is A.

---

A:
This record from Alexandria describes an optimized crystal structure of SiHgW2. The functional is PBEsol.

a = 2.749 Å, b = 4.958 Å, c = 4.958 Å
α = 110.45°, β = 90.00°, γ = 90.00°
Element x y z (fractional)
W: 0.000 0.000 0.500
W: 0.000 0.500 0.000
Hg: 0.500 0.000 0.000
Si: 0.500 0.500 0.500

---

B:
This record from Alexandria describes an optimized crystal structure of SiHgW2. The functional is PBEsol.

a = 2.760 Å, b = 2.760 Å, c = 9.475 Å
α = 90.00°, β = 90.00°, γ = 108.09°
Element x y z (fractional)
Si: 0.500 0.500 0.211
W: 0.500 0.500 0.775
W: 0.000 0.000 0.000
Hg: 0.000 0.000 0.514

---

C:
This record from Alexandria describes an optimized crystal structure of SiHgW2. The functional is PBEsol.

a = 2.791 Å, b = 5.201 Å, c = 5.201 Å
α = 115.29°, β = 100.37°, γ = 100.37°
Element x y z (fractional)
Hg: 0.500 0.000 0.000
Si: 0.500 0.500 0.500
W: 0.000 0.000 0.500
W: 0.000 0.500 0.000

---

Tell me which of them is the most stable. Sure, it is B.

---

A:
This record from Alexandria describes an optimized crystal structure of Zn2SiHg. The functional is PBEsol.

a = 2.835 Å, b = 2.835 Å, c = 9.914 Å
α = 81.78°, β = 81.78°, γ = 60.00°
Element x y z (fractional)
Si: 0.261 0.261 0.216
Zn: 0.001 0.001 0.996
Zn: 0.741 0.741 0.777
Hg: 0.496 0.496 0.511

---

B:
This record from Alexandria describes an optimized crystal structure of Zn2SiHg. The functional is PBEsol.

a = 2.674 Å, b = 3.728 Å, c = 6.756 Å
α = 90.00°, β = 90.02°, γ = 90.00°
Element x y z (fractional)
Hg: 0.500 0.500 0.000
Zn: 0.000 0.000 0.715
Zn: 0.000 0.000 0.285
Si: 0.500 0.500 0.500

---

C:
This record from Alexandria describes an optimized crystal structure of Zn2SiHg. The functional is PBEsol.

a = 3.917 Å, b = 4.142 Å, c = 4.142 Å
α = 90.00°, β = 90.00°, γ = 90.00°
Element x y z (fractional)
Hg: 0.500 0.500 0.500
Zn: 0.000 0.500 0.000
Zn: 0.000 0.000 0.500
Si: 0.500 0.000 0.000

---

Tell me which of them is the most stable. Sure, it is B.

---

A:
This record from Alexandria describes an optimized crystal structure of Y2Sn2Hg. The functional is PBEsol.

a = 4.440 Å, b = 7.537 Å, c = 7.537 Å
α = 90.00°, β = 90.00°, γ = 90.00°
Element x y z (fractional)
Y: 0.500 0.328 0.172
Y: 0.500 0.672 0.828
Y: 0.500 0.828 0.328
Y: 0.500 0.172 0.672
Sn: 0.000 0.632 0.132
Sn: 0.000 0.868 0.632
Sn: 0.000 0.368 0.868
Sn: 0.000 0.132 0.368
Hg: 0.000 0.500 0.500
Hg: 0.000 0.000 0.000

---

B:
This record from Alexandria describes an optimized crystal structure of Y2Sn2Hg. The functional is PBEsol.

a = 5.841 Å, b = 6.059 Å, c = 5.841 Å
α = 61.18°, β = 90.00°, γ = 118.82°
Element x y z (fractional)
Hg: 0.000 0.000 0.000
Y: 0.250 0.500 0.250
Y: 0.750 0.500 0.750
Sn: 0.664 0.329 0.336
Sn: 0.336 0.671 0.664

---

Tell me which of them is the most stable. Sure, it is A.

---

A:
This record from Alexandria describes an optimized crystal structure of SrHg5. The functional is PBEsol.

a = 5.182 Å, b = 5.753 Å, c = 5.753 Å
α = 120.00°, β = 90.00°, γ = 90.00°
Element x y z (fractional)
Hg: 0.500 0.667 0.333
Hg: 0.500 0.333 0.667
Hg: 0.000 0.358 0.358
Hg: 0.000 0.000 0.642
Hg: 0.000 0.642 0.000
Sr: 0.500 0.000 0.000

---

B:
This record from Alexandria describes an optimized crystal structure of SrHg5. The functional is PBEsol.

a = 5.078 Å, b = 5.115 Å, c = 6.627 Å
α = 92.99°, β = 90.00°, γ = 119.76°
Element x y z (fractional)
Hg: 0.844 0.687 0.762
Hg: 0.156 0.313 0.238
Hg: 0.824 0.649 0.238
Hg: 0.176 0.351 0.762
Hg: 0.500 0.000 0.000
Sr: 0.500 0.000 0.500

---

C:
This record from Alexandria describes an optimized crystal structure of SrHg5. The functional is PBEsol.

a = 4.664 Å, b = 4.820 Å, c = 7.076 Å
α = 90.00°, β = 109.24°, γ = 90.00°
Element x y z (fractional)
Hg: 0.830 0.000 0.660
Hg: 0.170 0.000 0.340
Hg: 0.674 0.500 0.347
Hg: 0.326 0.500 0.653
Hg: 0.500 0.000 0.000
Sr: 0.000 0.500 0.000

---

Tell me which of them is the most stable. Sure, it is B.

---

A:
This record from Alexandria describes an optimized crystal structure of SrTlHg. The functional is PBEsol.

a = 3.796 Å, b = 5.086 Å, c = 5.086 Å
α = 120.00°, β = 90.00°, γ = 90.00°
Element x y z (fractional)
Hg: 0.500 0.000 0.000
Sr: 0.000 0.333 0.667
Tl: 0.500 0.667 0.333

---

B:
This record from Alexandria describes an optimized crystal structure of SrTlHg. The functional is PBEsol.

a = 5.129 Å, b = 5.129 Å, c = 5.129 Å
α = 60.00°, β = 60.00°, γ = 60.00°
Element x y z (fractional)
Hg: 0.250 0.250 0.250
Sr: 0.000 0.000 0.000
Tl: 0.500 0.500 0.500

---

C:
This record from Alexandria describes an optimized crystal structure of SrTlHg. The functional is PBEsol.

a = 3.847 Å, b = 3.847 Å, c = 6.397 Å
α = 107.50°, β = 107.50°, γ = 90.00°
Element x y z (fractional)
Sr: 0.659 0.659 0.318
Tl: 0.348 0.348 0.697
Hg: 0.993 0.993 0.985

---

Tell me which of them is the most stable. Sure, it is A.

---

A:
This record from Alexandria describes an optimized crystal structure of SrTl2Hg2. The functional is PBEsol.

a = 4.700 Å, b = 4.700 Å, c = 7.262 Å
α = 108.88°, β = 108.88°, γ = 90.00°
Element x y z (fractional)
Hg: 0.394 0.394 0.787
Hg: 0.606 0.606 0.213
Sr: 0.000 0.000 0.000
Tl: 0.250 0.750 0.500
Tl: 0.750 0.250 0.500

---

B:
This record from Alexandria describes an optimized crystal structure of SrTl2Hg2. The functional is PBEsol.

a = 4.025 Å, b = 8.371 Å, c = 8.371 Å
α = 90.00°, β = 90.00°, γ = 90.00°
Element x y z (fractional)
Tl: 0.500 0.330 0.170
Tl: 0.500 0.170 0.670
Tl: 0.500 0.830 0.330
Tl: 0.500 0.670 0.830
Sr: 0.000 0.000 0.000
Sr: 0.000 0.500 0.500
Hg: 0.000 0.872 0.628
Hg: 0.000 0.372 0.872
Hg: 0.000 0.628 0.128
Hg: 0.000 0.128 0.372

---

Tell me which of them is the most stable. Sure, it is A.

---

A:
This record from Alexandria describes an optimized crystal structure of Sr2ZnHg. The functional is PBEsol.

a = 5.473 Å, b = 5.473 Å, c = 5.473 Å
α = 60.00°, β = 60.00°, γ = 60.00°
Element x y z (fractional)
Sr: 0.250 0.250 0.250
Sr: 0.750 0.750 0.750
Hg: 0.000 0.000 0.000
Zn: 0.500 0.500 0.500

---

B:
This record from Alexandria describes an optimized crystal structure of Sr2ZnHg. The functional is PBEsol.

a = 4.540 Å, b = 4.557 Å, c = 8.068 Å
α = 106.30°, β = 90.00°, γ = 119.88°
Element x y z (fractional)
Hg: 0.500 0.000 0.000
Sr: 0.252 0.504 0.256
Sr: 0.748 0.496 0.744
Zn: 0.000 0.000 0.500

---

Tell me which of them is the most stable. Sure, it is A.

---

A:
This record from Alexandria describes an optimized crystal structure of YTaHg2. The functional is PBEsol.

a = 3.199 Å, b = 5.153 Å, c = 5.959 Å
α = 115.62°, β = 105.57°, γ = 90.00°
Element x y z (fractional)
Ta: 0.491 0.491 0.982
Hg: 0.752 0.252 0.504
Hg: 0.010 0.010 0.020
Y: 0.247 0.747 0.494

---

B:
This record from Alexandria describes an optimized crystal structure of YTaHg2. The functional is PBEsol.

a = 3.253 Å, b = 3.253 Å, c = 9.781 Å
α = 80.43°, β = 80.43°, γ = 60.00°
Element x y z (fractional)
Hg: 0.003 0.003 0.992
Hg: 0.752 0.752 0.743
Ta: 0.497 0.497 0.508
Y: 0.248 0.248 0.256

---

Tell me which of them is the most stable. Sure, it is A.

---

A:
This record from Alexandria describes an optimized crystal structure of ZrTaHg2. The functional is PBEsol.

a = 3.057 Å, b = 5.215 Å, c = 5.875 Å
α = 118.54°, β = 105.08°, γ = 90.00°
Element x y z (fractional)
Hg: 0.001 0.934 0.003
Hg: 0.753 0.325 0.507
Ta: 0.501 0.432 0.001
Zr: 0.244 0.808 0.489

---

B:
This record from Alexandria describes an optimized crystal structure of ZrTaHg2. The functional is PBEsol.

a = 3.028 Å, b = 5.074 Å, c = 5.074 Å
α = 90.00°, β = 90.00°, γ = 90.00°
Element x y z (fractional)
Ta: 0.500 0.500 0.500
Hg: 0.000 0.000 0.500
Hg: 0.000 0.500 0.000
Zr: 0.500 0.000 0.000

---

Tell me which of them is the most stable. Sure, it is A.